Record 1
Compound: InGe
Source: Alexandria via LeMat-Bulk
Functional: PBE
Structure: relaxed

The structure in POSCAR format:
```
InGe
1.0
-6.606 -3.995 -1.665
3.260 -5.350 -0.094
-1.524 -1.080 8.638
In Ge
8 8
direct
0.638 0.247 0.148
0.138 0.253 0.852
0.362 0.747 0.352
0.862 0.753 0.648
0.372 0.843 0.905
0.872 0.657 0.095
0.628 0.343 0.595
0.128 0.157 0.405
0.298 0.191 0.132
0.798 0.309 0.868
0.702 0.691 0.368
0.202 0.809 0.632
0.290 0.414 0.605
0.790 0.086 0.395
0.710 0.914 0.895
0.210 0.586 0.105
```

Summary:
The formation enthalpy at 0 K comes out at 151 meV/atom. As for the density: 5.69 Mg/m³. For the electronic total energy, the calculation gives -3.527 eV/atom. For the magnetic moment, the calculation gives 0.000 μB per atom. Its volume is 27.3 Å³ per atom. Its space group is P2_12_12_1, No. 19.

***

Record 2
Compound: Li3VCu
Source: Alexandria via LeMat-Bulk
Functional: PBE
Structure: relaxed

The structure in POSCAR format:
```
Li3VCu
1.0
4.540 0.000 0.000
0.000 4.540 0.000
0.000 0.000 4.540
V Cu Li
1 1 3
direct
0.500 0.500 0.500
0.000 0.000 0.000
0.000 0.500 0.000
0.000 0.000 0.500
0.500 0.000 0.000
```

Summary:
The formation enthalpy at 0 K comes out at 690 meV/atom. As for the density: 2.40 Mg/m³. For the electronic total energy, the calculation gives -3.101 eV/atom. For the magnetic moment, the calculation gives 0.832 μB per atom. Its volume is 18.7 Å³ per atom. The calculation puts the relative energy among the computed polymorphs at 0 meV/atom. Its space group is Pm-3m, No. 221.

***

Record 3
Compound: Tb2HoAl2
Source: Alexandria via LeMat-Bulk
Functional: PBE
Structure: relaxed

The structure in POSCAR format:
```
Tb2HoAl2
1.0
3.622 0.000 -0.486
0.000 5.134 0.000
-0.037 0.000 13.506
Tb Ho Al
4 2 4
direct
0.047 0.750 0.094
0.953 0.250 0.906
0.233 0.750 0.467
0.767 0.250 0.533
0.856 0.750 0.710
0.144 0.250 0.290
0.640 0.750 0.282
0.360 0.250 0.718
0.450 0.750 0.900
0.550 0.250 0.100
```

Summary:
The formation enthalpy at 0 K comes out at -313 meV/atom. As for the density: 7.10 Mg/m³. For the electronic total energy, the calculation gives -4.578 eV/atom. For the magnetic moment, the calculation gives 0.000 μB per atom. Its volume is 25.1 Å³ per atom. The calculation puts the relative energy among the computed polymorphs at 0 meV/atom. Its space group is P2_1/m, No. 11.

***

Record 4
Compound: Pm3H12Ru5
Source: Alexandria via LeMat-Bulk
Functional: PBE
Structure: relaxed

The structure in POSCAR format:
```
Pm3H12Ru5
1.0
10.099 0.000 0.000
-3.366 9.522 0.000
-3.366 -4.761 8.246
Ru Pm H
20 12 48
direct
0.125 0.375 0.250
0.000 0.500 0.000
0.000 0.000 0.000
0.375 0.250 0.125
0.500 0.000 0.500
0.500 0.500 0.000
0.125 0.750 0.375
0.750 0.125 0.875
0.750 0.625 0.375
0.375 0.125 0.750
0.625 0.875 0.250
0.500 0.500 0.500
0.500 0.000 0.000
0.000 0.000 0.500
0.250 0.375 0.625
0.250 0.875 0.125
0.000 0.500 0.500
0.875 0.250 0.625
0.625 0.750 0.875
0.875 0.625 0.750
0.750 0.375 0.125
0.875 0.750 0.125
0.375 0.750 0.625
0.250 0.125 0.375
0.875 0.125 0.250
0.375 0.625 0.250
0.625 0.375 0.750
0.125 0.875 0.750
0.750 0.875 0.625
0.625 0.250 0.375
0.125 0.250 0.875
0.250 0.625 0.875
0.691 0.100 0.015
0.324 0.515 0.415
0.985 0.400 0.309
0.515 0.191 0.100
0.591 0.691 0.676
0.985 0.585 0.176
0.324 0.809 0.409
0.085 0.909 0.100
0.585 0.985 0.676
0.691 0.591 0.176
0.809 0.485 0.400
0.824 0.915 0.015
0.100 0.691 0.515
0.400 0.415 0.091
0.091 0.915 0.400
0.409 0.100 0.585
0.091 0.176 0.191
0.485 0.676 0.085
0.824 0.909 0.309
0.100 0.409 0.085
0.400 0.985 0.809
0.585 0.600 0.409
0.915 0.824 0.515
0.809 0.324 0.909
0.415 0.400 0.591
0.085 0.176 0.485
0.191 0.676 0.091
0.176 0.091 0.691
0.600 0.015 0.191
0.900 0.591 0.915
0.515 0.324 0.915
0.591 0.900 0.415
0.909 0.824 0.809
0.909 0.085 0.600
0.900 0.309 0.485
0.176 0.085 0.985
0.600 0.585 0.909
0.415 0.015 0.324
0.309 0.409 0.824
0.191 0.515 0.600
0.915 0.091 0.900
0.676 0.191 0.591
0.485 0.809 0.900
0.015 0.415 0.824
0.409 0.309 0.324
0.015 0.600 0.691
0.676 0.485 0.585
0.309 0.900 0.985
```

Summary:
As for the density: 7.98 Mg/m³. For the electronic total energy, the calculation gives -5.242 eV/atom. For the magnetic moment, the calculation gives 0.000 μB per atom. Its volume is 9.9 Å³ per atom. Its space group is Ia-3d, No. 230.

***

Record 5
Compound: NbPCl2
Source: Alexandria via LeMat-Bulk
Functional: PBE
Structure: relaxed

The structure in POSCAR format:
```
NbPCl2
1.0
1.802 0.000 9.291
-0.901 1.561 9.291
-0.901 -1.561 9.291
P Nb Cl
1 1 2
direct
0.500 0.500 0.500
0.000 0.000 0.000
0.916 0.916 0.916
0.084 0.084 0.084
```

Summary:
As for the raw formation energy: 0.3044 eV per atom. As for the density: 4.12 Mg/m³. For the electronic total energy, the calculation gives -4.489 eV/atom. For the magnetic moment, the calculation gives 0.000 μB per atom. Its volume is 19.6 Å³ per atom. The calculation puts the relative energy among the computed polymorphs at 621 meV/atom. Its space group is R-3m, No. 166.

***

Record 6
Compound: AsIrAuClO
Source: Alexandria via LeMat-Bulk
Functional: PBE
Structure: relaxed

The structure in POSCAR format:
```
AsIrAuClO
1.0
3.641 0.000 0.001
0.000 3.777 0.000
-0.142 0.000 15.274
As Ir Au Cl O
2 2 2 2 2
direct
0.392 0.000 0.715
0.392 0.500 0.215
0.896 0.000 0.820
0.896 0.500 0.320
0.392 0.000 0.111
0.392 0.500 0.611
0.400 0.000 0.951
0.400 0.500 0.451
0.896 0.000 0.331
0.896 0.500 0.831
```

Summary:
As for the raw formation energy: -0.2975 eV per atom. As for the density: 8.15 Mg/m³. For the electronic total energy, the calculation gives -5.016 eV/atom. For the magnetic moment, the calculation gives 0.000 μB per atom. Its volume is 21.0 Å³ per atom. The calculation puts the relative energy among the computed polymorphs at 0 meV/atom. Its space group is Cm, No. 8.

***

Record 7
Compound: SrU4Ni3S12
Source: Alexandria via LeMat-Bulk
Functional: PBE
Structure: relaxed

The structure in POSCAR format:
```
SrU4Ni3S12
1.0
-7.374 -2.371 3.048
5.840 -5.472 2.293
1.937 7.533 2.967
Sr U Ni S
1 4 3 12
direct
0.000 0.000 0.000
0.500 0.000 0.000
0.500 0.500 0.500
0.000 0.500 0.000
0.000 0.000 0.500
0.000 0.500 0.500
0.500 0.500 0.000
0.500 0.000 0.500
0.321 0.843 0.163
0.679 0.157 0.837
0.679 0.843 0.522
0.837 0.679 0.157
0.843 0.163 0.321
0.157 0.478 0.321
0.478 0.321 0.157
0.157 0.837 0.679
0.321 0.157 0.478
0.163 0.321 0.843
0.843 0.522 0.679
0.522 0.679 0.843
```

Summary:
As for the raw formation energy: -0.9940 eV per atom. As for the density: 5.99 Mg/m³. For the electronic total energy, the calculation gives -6.679 eV/atom. For the magnetic moment, the calculation gives 0.406 μB per atom. Its volume is 22.2 Å³ per atom. Its space group is Im-3, No. 204.

***

Record 8
Compound: K5Pt2S5
Source: Alexandria via LeMat-Bulk
Functional: PBE
Structure: relaxed

The structure in POSCAR format:
```
K5Pt2S5
1.0
4.354 0.000 0.000
-2.177 7.023 0.597
0.000 -2.249 10.722
K Pt S
5 2 5
direct
0.500 0.000 0.500
0.635 0.270 0.098
0.786 0.571 0.368
0.214 0.429 0.632
0.365 0.730 0.902
0.025 0.050 0.784
0.975 0.950 0.216
0.119 0.237 0.351
0.589 0.179 0.782
0.411 0.821 0.218
0.881 0.763 0.649
0.000 0.000 0.000
```

Summary:
As for the raw formation energy: -0.6953 eV per atom. As for the density: 3.71 Mg/m³. For the electronic total energy, the calculation gives -3.879 eV/atom. For the magnetic moment, the calculation gives 0.000 μB per atom. Its volume is 27.8 Å³ per atom. Its space group is C2/m, No. 12.

***

Record 9
Compound: Ho2ErIn3
Source: Alexandria via LeMat-Bulk
Functional: PBE
Structure: relaxed

The structure in POSCAR format:
```
Ho2ErIn3
1.0
-3.305 -1.663 -0.192
0.285 -0.977 3.562
-5.089 9.758 3.082
Ho Er In
2 1 3
direct
0.500 0.500 0.833
0.500 0.500 0.167
0.500 0.500 0.500
0.000 0.000 0.000
0.000 0.000 0.665
0.000 0.000 0.335
```

Summary:
The formation enthalpy at 0 K comes out at -449 meV/atom. As for the density: 8.91 Mg/m³. For the electronic total energy, the calculation gives -4.105 eV/atom. For the magnetic moment, the calculation gives 0.000 μB per atom. Its volume is 26.1 Å³ per atom. The calculation puts the relative energy among the computed polymorphs at 0 meV/atom. Its space group is P4/mmm, No. 123.

***

Record 10
Compound: Nd4HgPSe2
Source: Alexandria via LeMat-Bulk
Functional: PBE
Structure: relaxed

The structure in POSCAR format:
```
Nd4HgPSe2
1.0
4.215 0.000 0.000
0.000 7.406 -0.175
0.000 2.582 7.004
Nd Hg P Se
4 1 1 2
direct
0.000 0.756 0.735
0.000 0.244 0.265
0.500 0.741 0.267
0.500 0.259 0.733
0.500 0.500 0.000
0.000 0.500 0.500
0.000 0.000 0.000
0.500 0.000 0.500
```

Summary:
As for the raw formation energy: -1.4027 eV per atom. As for the density: 7.28 Mg/m³. For the electronic total energy, the calculation gives -5.372 eV/atom. For the magnetic moment, the calculation gives 0.000 μB per atom. Its volume is 27.6 Å³ per atom. Its space group is P2/m, No. 10.

***

Record 11
Compound: Cs3K2Rb8
Source: Alexandria via LeMat-Bulk
Functional: PBE
Structure: relaxed

The structure in POSCAR format:
```
Cs3K2Rb8
1.0
9.250 0.000 0.000
4.625 8.011 0.000
4.625 2.670 17.617
Cs K Rb
3 2 8
direct
0.000 0.000 0.000
0.817 0.817 0.548
0.183 0.183 0.452
0.641 0.641 0.076
0.359 0.359 0.924
0.723 0.723 0.831
0.277 0.277 0.169
0.234 0.735 0.296
0.735 0.234 0.296
0.735 0.735 0.296
0.265 0.766 0.704
0.766 0.265 0.704
0.265 0.265 0.704
```

Summary:
The formation enthalpy at 0 K comes out at 44 meV/atom. As for the density: 1.48 Mg/m³. For the electronic total energy, the calculation gives -0.918 eV/atom. For the magnetic moment, the calculation gives 0.000 μB per atom. Its volume is 100.4 Å³ per atom. The calculation puts the relative energy among the computed polymorphs at 24 meV/atom. Its space group is R-3m, No. 166.